A PBEsol-optimized structure of YCo3B2, computed with meta-GGA SCAN.

As for the density: 7.57 g/cm³. The final energy is -97.211 eV/cell. The value obtained for the density of states at the Fermi level is 2.2 states/eV per cell. The calculation puts the formation energy at -0.433 eV/atom.

The structure belongs to space group P6/mmm (No. 191); the cell edges are 4.9423, 4.9423 and 2.9794 Å and the angles 90.00°, 90.00° and 120.00°. The distinct sites, in fractional coordinates, are Y at (0.0000, 0.0000, 0.0000), Co at (0.0000, 0.5000, 0.5000) and B at (0.3333, 0.6667, 0.0000).